1.
A geometry-optimized Ta2ZnIr structure. Source: the Alexandria database, functional PBE.

Results
- symmetry = I-4m2, No. 119
- ΔH_f (0 K) (eV per formula unit) = -0.61
- V (Å³ per atom) = 16.30

```
data_Ta2ZnIr
_chemical_formula_sum 'Ta2 Zn1 Ir1'
_space_group_name_H-M_alt 'P 1'
_space_group_IT_number 1
_cell_length_a 5.184
_cell_length_b 5.184
_cell_length_c 5.184
_cell_angle_alpha 136.49
_cell_angle_beta 136.49
_cell_angle_gamma 63.23
loop_
_space_group_symop_operation_xyz
'x,y,z'
loop_
_atom_site_label
_atom_site_type_symbol
_atom_site_fract_x
_atom_site_fract_y
_atom_site_fract_z
_atom_site_occupancy
Ta1 Ta 0.000 0.000 0.000 1
Ta2 Ta 0.750 0.250 0.500 1
Zn1 Zn 0.250 0.750 0.500 1
Ir1 Ir 0.500 0.500 0.000 1
```



2.
A geometry-optimized Ta3ZnIr structure. Source: the Alexandria database, functional PBE.

Results
- symmetry = Pm-3m, No. 221
- ΔH_f (0 K) (eV per formula unit) = 6.94
- V (Å³ per atom) = 19.46

```
data_Ta3ZnIr
_chemical_formula_sum 'Ta3 Zn1 Ir1'
_space_group_name_H-M_alt 'P 1'
_space_group_IT_number 1
_cell_length_a 4.600
_cell_length_b 4.600
_cell_length_c 4.600
_cell_angle_alpha 90.00
_cell_angle_beta 90.00
_cell_angle_gamma 90.00
loop_
_space_group_symop_operation_xyz
'x,y,z'
loop_
_atom_site_label
_atom_site_type_symbol
_atom_site_fract_x
_atom_site_fract_y
_atom_site_fract_z
_atom_site_occupancy
Ta1 Ta 0.000 0.000 0.500 1
Ta2 Ta 0.000 0.500 0.000 1
Ta3 Ta 0.500 0.000 0.000 1
Zn1 Zn 0.000 0.000 0.000 1
Ir1 Ir 0.500 0.500 0.500 1
```



3.
A geometry-optimized Ta2ZnIr structure. Source: the Alexandria database, functional PBE.

Results
- symmetry = Pm, No. 6
- ΔH_f (0 K) (eV per formula unit) = -1.01
- V (Å³ per atom) = 16.14

```
data_Ta2ZnIr
_chemical_formula_sum 'Ta2 Zn1 Ir1'
_space_group_name_H-M_alt 'P 1'
_space_group_IT_number 1
_cell_length_a 2.846
_cell_length_b 4.572
_cell_length_c 4.975
_cell_angle_alpha 90.00
_cell_angle_beta 94.21
_cell_angle_gamma 90.00
loop_
_space_group_symop_operation_xyz
'x,y,z'
loop_
_atom_site_label
_atom_site_type_symbol
_atom_site_fract_x
_atom_site_fract_y
_atom_site_fract_z
_atom_site_occupancy
Ta1 Ta 0.000 0.000 0.000 1
Ta2 Ta 0.133 0.500 0.657 1
Zn1 Zn 0.562 0.500 0.162 1
Ir1 Ir 0.560 0.000 0.481 1
```



no.,DFT total energy (eV/atom)
1,-8.61
2,-7.75
3,-8.71